Record 1
A plane-wave DFT calculation with PBE was carried out for Ga2CoRhI after structural relaxation.

Unit cell a=5.6314 b=5.6314 c=4.5399 alpha=90.00 beta=90.00 gamma=90.00
Element x y z (fractional)
Ga1 0.0000 0.5000 0.0000
Ga2 0.5000 0.0000 0.0000
Co1 0.0000 0.0000 0.5000
Rh1 0.5000 0.5000 0.5000
I1 0.0000 0.0000 0.0000

Output
Size of the total moment in μB/cell: 2.460
E_form (uncorrected) in eV per atom: 1.516
Volume in Å³/atom: 28.79
DOS(E_F) in states/eV per atom: 1.76

=====

Record 2
A plane-wave DFT calculation with PBE was carried out for SrMgSn2Hg2 after structural relaxation.

Unit cell a=5.0141 b=5.0141 c=7.5787 alpha=90.00 beta=90.00 gamma=120.00
Element x y z (fractional)
Sr1 0.0000 0.0000 0.0000
Mg1 0.0000 0.0000 0.5000
Sn1 0.3333 0.6667 0.3228
Sn2 0.6667 0.3333 0.6772
Hg1 0.3333 0.6667 0.7752
Hg2 0.6667 0.3333 0.2248

Output
Size of the total moment in μB/cell: 0.000
Energy relative to the elements in kJ/mol of formula units: -163
Volume in Å³/atom: 27.50
DOS(E_F) in states/eV per atom: 0.57

=====

Record 3
A plane-wave DFT calculation with PBE was carried out for Tb3Nd2Pb4 after structural relaxation.

Unit cell a=9.4132 b=9.4132 c=9.0920 alpha=90.00 beta=90.00 gamma=135.14
Element x y z (fractional)
Tb1 0.0000 0.0000 0.0000
Tb2 0.0439 0.4561 0.2500
Tb3 0.4561 0.0439 0.7500
Tb4 0.5000 0.5000 0.5000
Tb5 0.5439 0.9561 0.2500
Tb6 0.9561 0.5439 0.7500
Nd1 0.1115 0.8885 0.4104
Nd2 0.3885 0.6115 0.9104
Nd3 0.6115 0.3885 0.0896
Nd4 0.8885 0.1115 0.5896
Pb1 0.1859 0.8141 0.0555
Pb2 0.2199 0.2801 0.2500
Pb3 0.2801 0.2199 0.7500
Pb4 0.3141 0.6859 0.5555
Pb5 0.6859 0.3141 0.4445
Pb6 0.7199 0.7801 0.2500
Pb7 0.7801 0.7199 0.7500
Pb8 0.8141 0.1859 0.9445

Output
Size of the total moment in μB/cell: 0.000
Energy relative to the elements in kJ/mol of formula units: -389
Volume in Å³/atom: 31.57
DOS(E_F) in states/eV per atom: 0.54

=====

Repeat the second record exactly.
A plane-wave DFT calculation with PBE was carried out for SrMgSn2Hg2 after structural relaxation.

Unit cell a=5.0141 b=5.0141 c=7.5787 alpha=90.00 beta=90.00 gamma=120.00
Element x y z (fractional)
Sr1 0.0000 0.0000 0.0000
Mg1 0.0000 0.0000 0.5000
Sn1 0.3333 0.6667 0.3228
Sn2 0.6667 0.3333 0.6772
Hg1 0.3333 0.6667 0.7752
Hg2 0.6667 0.3333 0.2248

Output
Size of the total moment in μB/cell: 0.000
Energy relative to the elements in kJ/mol of formula units: -163
Volume in Å³/atom: 27.50
DOS(E_F) in states/eV per atom: 0.57

=====

Which formula does entry 3 have?
Tb3Nd2Pb4

=====

Which of these has the highest volume?
Tb3Nd2Pb4

=====

Among the records above, which one has the highest size of the total moment?
Ga2CoRhI